A geometry-optimized Zr2CoAu structure, computed with PBE.

The space group is P4mm (No. 99) and the conventional cell measures 3.3952, 3.3952 and 6.4135 Å, with angles of 90.00, 90.00 and 90.00 degrees. The inequivalent atoms are Zr at (0.0000, 0.0000, 0.0000), Zr at (0.5000, 0.5000, 0.3094), Co at (0.5000, 0.5000, 0.8019) and Au at (0.0000, 0.0000, 0.5551).

Its density of states at the Fermi level is 4.05 states/eV/f.u. The size of the total moment comes out at 1.02 Bohr magnetons per cell. The energy above the lowest structure with this stoichiometry comes out at 0.146 eV per atom. The energy of formation from the pure elements comes out at -0.24 eV per atom. The raw total energy comes out at -28.4 eV per cell.